A plane-wave DFT calculation with PBE was carried out for crystalline K2SnBrCl6 at its relaxed geometry.

```
data_K2SnBrCl6
_cell_length_a 7.469
_cell_length_b 7.651
_cell_length_c 7.694
_cell_angle_alpha 65.25
_cell_angle_beta 64.66
_cell_angle_gamma 76.07
_space_group_name_H-M_alt 'P 1'
_space_group_IT_number 1
_space_group_name_Hall 'P 1'
loop_
_atom_site_label
_atom_site_type_symbol
_atom_site_fract_x
_atom_site_fract_y
_atom_site_fract_z
K1 K 0.000 0.000 0.000
K2 K 0.390 0.573 0.421
Sn1 Sn 0.682 0.996 0.642
Br1 Br 0.206 0.537 0.102
Cl1 Cl 0.407 0.195 0.812
Cl2 Cl 0.415 0.789 0.708
Cl3 Cl 0.638 0.189 0.312
Cl4 Cl 0.704 0.782 0.978
Cl5 Cl 0.926 0.203 0.573
Cl6 Cl 0.935 0.780 0.479
```

Its formation energy from raw total energies is -1196 meV per atom.